Compound: Ce2Co5Ge2
Source: Alexandria via LeMat-Bulk
Functional: GGA-PBE
Structure: relaxed

Values from the calculation:
* magnetic moment: 0.0 μB/f.u.
* energy: -6.4662 eV/atom

```
data_Ce2Co5Ge2
_cell_length_a 11.6034
_cell_length_b 4.1237
_cell_length_c 6.6871
_cell_angle_alpha 90.00
_cell_angle_beta 108.57
_cell_angle_gamma 90.00
_symmetry_space_group_name_H-M 'C 1 2/m 1'
_symmetry_Int_Tables_number 12
loop_
_symmetry_equiv_pos_as_xyz
'x,y,z'
'-x,-y,-z'
'-x,y,-z'
'x,-y,z'
'x+1/2,y+1/2,z'
'-x+1/2,-y+1/2,-z'
'-x+1/2,y+1/2,-z'
'x+1/2,-y+1/2,z'
loop_
_atom_site_label
_atom_site_type_symbol
_atom_site_fract_x
_atom_site_fract_y
_atom_site_fract_z
Ce1 Ce 0.1243 0.0000 0.2989
Co1 Co 0.0000 0.5000 0.0000
Co2 Co 0.0838 0.5000 0.4220
Co3 Co 0.1679 0.0000 0.9801
Ge1 Ge 0.1295 0.5000 0.7921
```

Compound: Ce8CoGe2
Source: Alexandria via LeMat-Bulk
Functional: GGA-PBE
Structure: relaxed

Values from the calculation:
* magnetic moment: 3.9 μB/f.u.
* relative energy among the computed polymorphs: 0 meV/atom

```
data_Ce8CoGe2
_cell_length_a 17.7480
_cell_length_b 5.0884
_cell_length_c 6.2666
_cell_angle_alpha 90.00
_cell_angle_beta 110.56
_cell_angle_gamma 90.00
_symmetry_space_group_name_H-M 'C 1 2/m 1'
_symmetry_Int_Tables_number 12
loop_
_symmetry_equiv_pos_as_xyz
'x,y,z'
'-x,-y,-z'
'-x,y,-z'
'x,-y,z'
'x+1/2,y+1/2,z'
'-x+1/2,-y+1/2,-z'
'-x+1/2,y+1/2,-z'
'x+1/2,-y+1/2,z'
loop_
_atom_site_label
_atom_site_type_symbol
_atom_site_fract_x
_atom_site_fract_y
_atom_site_fract_z
Ce1 Ce 0.0020 0.0000 0.2264
Ce2 Ce 0.0811 0.5000 0.4079
Ce3 Ce 0.1534 0.5000 0.9534
Ce4 Ce 0.2233 0.0000 0.2523
Co1 Co 0.0000 0.5000 0.0000
Ge1 Ge 0.1647 0.0000 0.6796
```

Compound: Ce3Co2Ge
Source: Alexandria via LeMat-Bulk
Functional: GGA-PBE
Structure: relaxed

Values from the calculation:
* magnetic moment: 1.5 μB/f.u.
* relative energy among the computed polymorphs: 66 meV/atom

```
data_Ce3Co2Ge
_cell_length_a 15.5935
_cell_length_b 4.1688
_cell_length_c 8.2130
_cell_angle_alpha 90.00
_cell_angle_beta 92.67
_cell_angle_gamma 90.00
_symmetry_space_group_name_H-M 'C 1 2/m 1'
_symmetry_Int_Tables_number 12
loop_
_symmetry_equiv_pos_as_xyz
'x,y,z'
'-x,-y,-z'
'-x,y,-z'
'x,-y,z'
'x+1/2,y+1/2,z'
'-x+1/2,-y+1/2,-z'
'-x+1/2,y+1/2,-z'
'x+1/2,-y+1/2,z'
loop_
_atom_site_label
_atom_site_type_symbol
_atom_site_fract_x
_atom_site_fract_y
_atom_site_fract_z
Ce1 Ce 0.0551 0.0000 0.3070
Ce2 Ce 0.1185 0.5000 0.9396
Ce3 Ce 0.2459 0.5000 0.2935
Co1 Co 0.0900 0.0000 0.6967
Co2 Co 0.2034 0.0000 0.0765
Ge1 Ge 0.1120 0.5000 0.5621
```

Compound: Ce2Co4Ge
Source: Alexandria via LeMat-Bulk
Functional: GGA-PBE
Structure: relaxed

Values from the calculation:
* magnetic moment: 0.0 μB/f.u.
* energy: -6.5835 eV/atom

```
data_Ce2Co4Ge
_cell_length_a 5.5929
_cell_length_b 5.5929
_cell_length_c 7.7326
_cell_angle_alpha 90.00
_cell_angle_beta 90.00
_cell_angle_gamma 90.00
_symmetry_space_group_name_H-M 'I 4/m m m'
_symmetry_Int_Tables_number 139
_symmetry_space_group_name_Hall '-I 4 2'
loop_
_atom_site_label
_atom_site_type_symbol
_atom_site_fract_x
_atom_site_fract_y
_atom_site_fract_z
Ce1 Ce 0.0000 0.5000 0.2500
Co1 Co 0.2095 0.2095 0.0000
Ge1 Ge 0.0000 0.0000 0.5000
```

Compound: CeCo6Ge12
Source: Alexandria via LeMat-Bulk
Functional: GGA-PBE
Structure: relaxed

Values from the calculation:
* magnetic moment: 0.0 μB/f.u.
* energy: -5.4217 eV/atom

```
data_CeCo6Ge12
_cell_length_a 8.5583
_cell_length_b 8.5583
_cell_length_c 8.5583
_cell_angle_alpha 90.00
_cell_angle_beta 90.00
_cell_angle_gamma 90.00
_symmetry_space_group_name_H-M 'I m -3'
_symmetry_Int_Tables_number 204
_symmetry_space_group_name_Hall '-I 2 2 3'
loop_
_atom_site_label
_atom_site_type_symbol
_atom_site_fract_x
_atom_site_fract_y
_atom_site_fract_z
Ce1 Ce 0.0000 0.0000 0.0000
Co1 Co 0.0000 0.1538 0.5000
Ge1 Ge 0.0000 0.3013 0.1652
```

Compound: Ce2CoGe
Source: Alexandria via LeMat-Bulk
Functional: GGA-PBE
Structure: relaxed

Values from the calculation:
* magnetic moment: 0.3 μB/f.u.
* energy: -5.8348 eV/atom

```
data_Ce2CoGe
_cell_length_a 3.0484
_cell_length_b 3.0484
_cell_length_c 29.7758
_cell_angle_alpha 90.00
_cell_angle_beta 90.00
_cell_angle_gamma 120.00
_symmetry_space_group_name_H-M 'R -3 m'
_symmetry_Int_Tables_number 166
_symmetry_space_group_name_Hall '-R 3 2"'
loop_
_atom_site_label
_atom_site_type_symbol
_atom_site_fract_x
_atom_site_fract_y
_atom_site_fract_z
Ce1 Ce 0.0000 0.0000 0.0787
Co1 Co 0.0000 0.0000 0.0000
Ge1 Ge 0.0000 0.0000 0.5000
```

Compound: Ce7Co2Ge2
Source: Alexandria via LeMat-Bulk
Functional: GGA-PBE
Structure: relaxed

Values from the calculation:
* magnetic moment: 2.7 μB/f.u.
* energy: -6.1514 eV/atom

```
data_Ce7Co2Ge2
_cell_length_a 7.6672
_cell_length_b 10.7762
_cell_length_c 6.4819
_cell_angle_alpha 90.00
_cell_angle_beta 90.00
_cell_angle_gamma 90.00
_symmetry_space_group_name_H-M 'C m m m'
_symmetry_Int_Tables_number 65
_symmetry_space_group_name_Hall '-C 2 2'
loop_
_atom_site_label
_atom_site_type_symbol
_atom_site_fract_x
_atom_site_fract_y
_atom_site_fract_z
Ce1 Ce 0.0000 0.0000 0.0000
Ce2 Ce 0.0000 0.5000 0.2216
Ce3 Ce 0.2500 0.2500 0.2758
Co1 Co 0.0000 0.2679 0.0000
Ge1 Ge 0.1685 0.0000 0.5000
```

Compound: Ce11Co4Ge9
Source: Alexandria via LeMat-Bulk
Functional: GGA-PBE
Structure: relaxed

Values from the calculation:
* magnetic moment: 3.3 μB/f.u.
* energy: -6.2530 eV/atom

```
data_Ce11Co4Ge9
_cell_length_a 13.0821
_cell_length_b 19.5089
_cell_length_c 3.9291
_cell_angle_alpha 90.00
_cell_angle_beta 90.00
_cell_angle_gamma 90.00
_symmetry_space_group_name_H-M 'C m m m'
_symmetry_Int_Tables_number 65
_symmetry_space_group_name_Hall '-C 2 2'
loop_
_atom_site_label
_atom_site_type_symbol
_atom_site_fract_x
_atom_site_fract_y
_atom_site_fract_z
Ce1 Ce 0.0000 0.0000 0.0000
Ce2 Ce 0.0000 0.1647 0.0000
Ce3 Ce 0.0000 0.3742 0.0000
Ce4 Ce 0.1895 0.5000 0.0000
Ce5 Ce 0.2391 0.1745 0.0000
Co1 Co 0.1576 0.3974 0.5000
Ge1 Ge 0.0000 0.5000 0.5000
Ge2 Ge 0.1043 0.2693 0.5000
Ge3 Ge 0.1507 0.0718 0.5000
```

Compound: Ce12CoGe6
Source: Alexandria via LeMat-Bulk
Functional: GGA-PBE
Structure: relaxed

Values from the calculation:
* magnetic moment: 8.4 μB/f.u.
* energy: -6.0175 eV/atom

```
data_Ce12CoGe6
_cell_length_a 11.5561
_cell_length_b 11.5561
_cell_length_c 12.2004
_cell_angle_alpha 90.00
_cell_angle_beta 90.00
_cell_angle_gamma 120.00
_symmetry_space_group_name_H-M 'R -3'
_symmetry_Int_Tables_number 148
_symmetry_space_group_name_Hall '-R 3'
loop_
_atom_site_label
_atom_site_type_symbol
_atom_site_fract_x
_atom_site_fract_y
_atom_site_fract_z
Ce1 Ce 0.0540 0.2008 0.3629
Ce2 Ce 0.0539 0.8431 0.8706
Co1 Co 0.0000 0.0000 0.5000
Ge1 Ge 0.0034 0.5828 0.7554
```

Compound: Ce3Co2Ge
Source: Alexandria via LeMat-Bulk
Functional: GGA-PBE
Structure: relaxed

Values from the calculation:
* magnetic moment: 0.0 μB/f.u.
* relative energy among the computed polymorphs: 0 meV/atom

```
data_Ce3Co2Ge
_cell_length_a 5.9262
_cell_length_b 11.0148
_cell_length_c 8.3989
_cell_angle_alpha 90.00
_cell_angle_beta 111.71
_cell_angle_gamma 90.00
_symmetry_space_group_name_H-M 'P 1 21/c 1'
_symmetry_Int_Tables_number 14
loop_
_symmetry_equiv_pos_as_xyz
'x,y,z'
'-x,-y,-z'
'-x,y+1/2,-z+1/2'
'x,-y+1/2,z+1/2'
loop_
_atom_site_label
_atom_site_type_symbol
_atom_site_fract_x
_atom_site_fract_y
_atom_site_fract_z
Ce1 Ce 0.1700 0.2319 0.3315
Ce2 Ce 0.2427 0.5773 0.9787
Ce3 Ce 0.3050 0.5470 0.5952
Co1 Co 0.1423 0.5159 0.3119
Co2 Co 0.2761 0.1343 0.6290
Ge1 Ge 0.4007 0.7074 0.3174
```

Compound: Ce3Co6Ge5
Source: Alexandria via LeMat-Bulk
Functional: GGA-PBE
Structure: relaxed

Values from the calculation:
* magnetic moment: 0.0 μB/f.u.
* energy: -6.4978 eV/atom

```
data_Ce3Co6Ge5
_cell_length_a 3.9790
_cell_length_b 11.9346
_cell_length_c 9.6395
_cell_angle_alpha 90.00
_cell_angle_beta 90.00
_cell_angle_gamma 90.00
_symmetry_space_group_name_H-M 'P m m n'
_symmetry_Int_Tables_number 59
loop_
_symmetry_equiv_pos_as_xyz
'x,y,z'
'-x,-y,-z'
'-x+1/2,-y+1/2,z'
'x+1/2,y+1/2,-z'
'x+1/2,-y,-z'
'-x+1/2,y,z'
'-x,y+1/2,-z'
'x,-y+1/2,z'
loop_
_atom_site_label
_atom_site_type_symbol
_atom_site_fract_x
_atom_site_fract_y
_atom_site_fract_z
Ce1 Ce 0.2500 0.0876 0.2395
Ce2 Ce 0.2500 0.7500 0.2624
Co1 Co 0.2500 0.0495 0.8987
Co2 Co 0.2500 0.2500 0.5142
Co3 Co 0.2500 0.2500 0.9852
Co4 Co 0.2500 0.5807 0.4918
Ge1 Ge 0.2500 0.0756 0.6441
Ge2 Ge 0.2500 0.6295 0.9969
Ge3 Ge 0.2500 0.7500 0.6208
```

Compound: Ce3Co2Ge3
Source: Alexandria via LeMat-Bulk
Functional: GGA-PBE
Structure: relaxed

Values from the calculation:
* magnetic moment: 0.5 μB/f.u.
* energy: -6.3549 eV/atom

```
data_Ce3Co2Ge3
_cell_length_a 7.7131
_cell_length_b 14.4095
_cell_length_c 5.6942
_cell_angle_alpha 90.00
_cell_angle_beta 90.00
_cell_angle_gamma 90.00
_symmetry_space_group_name_H-M 'P n m a'
_symmetry_Int_Tables_number 62
loop_
_symmetry_equiv_pos_as_xyz
'x,y,z'
'-x,-y,-z'
'-x+1/2,-y,z+1/2'
'x+1/2,y,-z+1/2'
'x+1/2,-y+1/2,-z+1/2'
'-x+1/2,y+1/2,z+1/2'
'-x,y+1/2,-z'
'x,-y+1/2,z'
loop_
_atom_site_label
_atom_site_type_symbol
_atom_site_fract_x
_atom_site_fract_y
_atom_site_fract_z
Ce1 Ce 0.0370 0.1061 0.1242
Ce2 Ce 0.1760 0.2500 0.6346
Co1 Co 0.1070 0.6055 0.3914
Ge1 Ge 0.1736 0.7500 0.6154
Ge2 Ge 0.1824 0.0420 0.6166
```

Compound: CeCo2Ge2
Source: Alexandria via LeMat-Bulk
Functional: GGA-PBE
Structure: relaxed

Values from the calculation:
* magnetic moment: 0.5 μB/f.u.
* energy: -6.4583 eV/atom

```
data_CeCo2Ge2
_cell_length_a 4.0844
_cell_length_b 4.0844
_cell_length_c 9.8715
_cell_angle_alpha 90.00
_cell_angle_beta 90.00
_cell_angle_gamma 90.00
_symmetry_space_group_name_H-M 'I 4/m m m'
_symmetry_Int_Tables_number 139
_symmetry_space_group_name_Hall '-I 4 2'
loop_
_atom_site_label
_atom_site_type_symbol
_atom_site_fract_x
_atom_site_fract_y
_atom_site_fract_z
Ce1 Ce 0.0000 0.0000 0.0000
Co1 Co 0.0000 0.5000 0.2500
Ge1 Ge 0.0000 0.0000 0.3676
```

Compound: Ce6CoGe3
Source: Alexandria via LeMat-Bulk
Functional: GGA-PBE
Structure: relaxed

Values from the calculation:
* magnetic moment: 4.2 μB/f.u.
* energy: -5.9517 eV/atom

```
data_Ce6CoGe3
_cell_length_a 10.5924
_cell_length_b 14.5433
_cell_length_c 7.0903
_cell_angle_alpha 90.00
_cell_angle_beta 90.00
_cell_angle_gamma 90.00
_symmetry_space_group_name_H-M 'C m c 21'
_symmetry_Int_Tables_number 36
loop_
_symmetry_equiv_pos_as_xyz
'x,y,z'
'-x,-y,z+1/2'
'-x,y,z'
'x,-y,z+1/2'
'x+1/2,y+1/2,z'
'-x+1/2,-y+1/2,z+1/2'
'-x+1/2,y+1/2,z'
'x+1/2,-y+1/2,z+1/2'
loop_
_atom_site_label
_atom_site_type_symbol
_atom_site_fract_x
_atom_site_fract_y
_atom_site_fract_z
Ce1 Ce 0.0000 0.0126 0.0000
Ce2 Ce 0.0000 0.2197 0.4573
Ce3 Ce 0.1325 0.4811 0.4701
Ce4 Ce 0.1715 0.2384 0.9286
Co1 Co 0.0000 0.1332 0.7625
Ge1 Ge 0.0000 0.3607 0.1702
Ge2 Ge 0.1917 0.1049 0.2495
```

Compound: Ce8CoGe2
Source: Alexandria via LeMat-Bulk
Functional: GGA-PBE
Structure: relaxed

Values from the calculation:
* magnetic moment: 1.3 μB/f.u.
* relative energy among the computed polymorphs: 21 meV/atom

```
data_Ce8CoGe2
_cell_length_a 5.1660
_cell_length_b 6.0704
_cell_length_c 9.0101
_cell_angle_alpha 77.87
_cell_angle_beta 73.63
_cell_angle_gamma 86.80
_symmetry_space_group_name_H-M 'P -1'
_symmetry_Int_Tables_number 2
loop_
_symmetry_equiv_pos_as_xyz
'x,y,z'
'-x,-y,-z'
loop_
_atom_site_label
_atom_site_type_symbol
_atom_site_fract_x
_atom_site_fract_y
_atom_site_fract_z
Ce1 Ce 0.0420 0.2814 0.4793
Ce2 Ce 0.2137 0.1778 0.0636
Ce3 Ce 0.2971 0.6877 0.7921
Ce4 Ce 0.4086 0.1420 0.6847
Co1 Co 0.5000 0.5000 0.5000
Ge1 Ge 0.1860 0.6567 0.1614
```

Compound: CeCo2Ge3
Source: Alexandria via LeMat-Bulk
Functional: GGA-PBE
Structure: relaxed

Values from the calculation:
* magnetic moment: 0.6 μB/f.u.
* relative energy among the computed polymorphs: 103 meV/atom

```
data_CeCo2Ge3
_cell_length_a 7.9303
_cell_length_b 9.6556
_cell_length_c 5.5450
_cell_angle_alpha 90.00
_cell_angle_beta 90.00
_cell_angle_gamma 90.00
_symmetry_space_group_name_H-M 'C m c m'
_symmetry_Int_Tables_number 63
_symmetry_space_group_name_Hall '-C 2c 2'
loop_
_atom_site_label
_atom_site_type_symbol
_atom_site_fract_x
_atom_site_fract_y
_atom_site_fract_z
Ce1 Ce 0.0000 0.1980 0.2500
Co1 Co 0.1619 0.5000 0.0000
Ge1 Ge 0.0000 0.3591 0.7500
Ge2 Ge 0.1590 0.1134 0.7500
```

Compound: Ce2CoGe
Source: Alexandria via LeMat-Bulk
Functional: GGA-PBE
Structure: relaxed

Values from the calculation:
* magnetic moment: 0.7 μB/f.u.
* energy: -6.4323 eV/atom

```
data_Ce2CoGe
_cell_length_a 4.9837
_cell_length_b 4.1845
_cell_length_c 8.3779
_cell_angle_alpha 90.00
_cell_angle_beta 95.33
_cell_angle_gamma 90.00
_symmetry_space_group_name_H-M 'P 1 21/m 1'
_symmetry_Int_Tables_number 11
loop_
_symmetry_equiv_pos_as_xyz
'x,y,z'
'-x,-y,-z'
'-x,y+1/2,-z'
'x,-y+1/2,z'
loop_
_atom_site_label
_atom_site_type_symbol
_atom_site_fract_x
_atom_site_fract_y
_atom_site_fract_z
Ce1 Ce 0.1832 0.2500 0.4631
Ce2 Ce 0.2618 0.7500 0.1004
Co1 Co 0.1289 0.2500 0.8099
Ge1 Ge 0.3388 0.7500 0.7414
```

Compound: CeCo2Ge3
Source: Alexandria via LeMat-Bulk
Functional: GGA-PBE
Structure: relaxed

Values from the calculation:
* magnetic moment: 0.5 μB/f.u.
* relative energy among the computed polymorphs: 0 meV/atom

```
data_CeCo2Ge3
_cell_length_a 15.7564
_cell_length_b 4.0274
_cell_length_c 9.5217
_cell_angle_alpha 90.00
_cell_angle_beta 104.99
_cell_angle_gamma 90.00
_symmetry_space_group_name_H-M 'C 1 2/m 1'
_symmetry_Int_Tables_number 12
loop_
_symmetry_equiv_pos_as_xyz
'x,y,z'
'-x,-y,-z'
'-x,y,-z'
'x,-y,z'
'x+1/2,y+1/2,z'
'-x+1/2,-y+1/2,-z'
'-x+1/2,y+1/2,-z'
'x+1/2,-y+1/2,z'
loop_
_atom_site_label
_atom_site_type_symbol
_atom_site_fract_x
_atom_site_fract_y
_atom_site_fract_z
Ce1 Ce 0.0000 0.0000 0.0000
Ce2 Ce 0.1506 0.0000 0.6953
Co1 Co 0.0027 0.5000 0.7660
Co2 Co 0.1430 0.5000 0.4391
Co3 Co 0.2040 0.0000 0.0883
Ge1 Ge 0.0000 0.5000 0.5000
Ge2 Ge 0.0502 0.0000 0.3515
Ge3 Ge 0.1400 0.5000 0.1842
Ge4 Ge 0.1467 0.5000 0.9246
Ge5 Ge 0.2242 0.0000 0.3749
```